Computed, not measured: crystalline Ac2Ga6FePd at its relaxed geometry at the PBE level of DFT.

Energy relative to the elements = -0.4284 eV per atom
Size of the total moment = 0.31 μB per cell

Cell and atoms, written as POSCAR:
```
Ac2Ga6FePd
1.0
-1.285 -6.686 -1.448
5.822 -1.643 2.408
0.256 -5.129 4.689
Ga Fe Pd Ac
6 1 1 2
direct
0.241 0.758 0.072
0.759 0.242 0.928
0.830 0.759 0.484
0.759 0.829 0.928
0.241 0.171 0.072
0.170 0.241 0.516
0.000 0.000 0.000
0.500 0.500 0.000
0.287 0.714 0.571
0.713 0.286 0.429
```



Computed, not measured: crystalline AcGd2Fe at its relaxed geometry at the PBE level of DFT.

ΔE to the lowest computed polymorph = 0 meV per atom
Energy relative to the elements = 0.1117 eV per atom
Size of the total moment = 12.83 μB per cell

Cell and atoms, written as POSCAR:
```
AcGd2Fe
1.0
3.550 0.000 0.000
0.000 3.550 0.000
0.000 0.000 9.267
Ac Fe Gd
1 1 2
direct
0.500 0.500 0.500
0.500 0.500 0.000
0.000 0.000 0.175
0.000 0.000 0.825
```